First-principles (GGA-PBE) data for TcTe2W after structural relaxation, as listed in Alexandria via LeMat-Bulk.

a = 3.952 Å, b = 3.874 Å, c = 6.861 Å
α = 88.80°, β = 90.00°, γ = 90.00°
Fractional coordinates of all 4 atoms:
Tc: 0.500 0.847 0.627
Te: 0.000 0.905 0.902
Te: 0.500 0.346 0.348
W: 0.000 0.402 0.622

- formation energy (no corrections) (eV per atom) = 0.1686
- distance to the lowest polymorph of the same formula (eV/atom) = 0.0000
- DFT total energy (eV per atom) = -7.2320
- total magnetic moment (μB/f.u.) = 0.00

***

First-principles (GGA-PBE) data for La6S3O2F8 after structural relaxation, as listed in Alexandria via LeMat-Bulk.

a = 3.974 Å, b = 13.834 Å, c = 13.946 Å
α = 60.27°, β = 90.00°, γ = 90.00°
Fractional coordinates of all 38 atoms:
La: 0.000 0.718 0.228
La: 0.000 0.226 0.055
La: 0.000 0.050 0.711
La: 0.500 0.292 0.759
La: 0.500 0.761 0.947
La: 0.500 0.945 0.295
La: 0.000 0.473 0.138
La: 0.000 0.130 0.396
La: 0.000 0.387 0.475
La: 0.500 0.537 0.861
La: 0.500 0.874 0.602
La: 0.500 0.606 0.537
S: 0.000 0.803 0.472
S: 0.000 0.476 0.721
S: 0.000 0.716 0.812
S: 0.500 0.193 0.529
S: 0.500 0.532 0.282
S: 0.500 0.282 0.183
O: 0.000 0.980 0.587
O: 0.500 0.419 0.565
O: 0.500 0.562 0.021
O: 0.500 0.020 0.412
F: 0.000 0.901 0.205
F: 0.000 0.208 0.890
F: 0.000 0.889 0.903
F: 0.500 0.099 0.793
F: 0.500 0.797 0.107
F: 0.500 0.103 0.097
F: 0.000 0.679 0.074
F: 0.000 0.070 0.247
F: 0.000 0.250 0.679
F: 0.500 0.324 0.928
F: 0.500 0.926 0.753
F: 0.500 0.745 0.324
F: 0.000 0.333 0.333
F: 0.500 0.671 0.667
F: 0.000 0.588 0.435
F: 0.000 0.434 0.976

- formation energy (no corrections) (eV per atom) = -3.5850
- DFT total energy (eV per atom) = -7.1026
- total magnetic moment (μB/f.u.) = 0.00

***

First-principles (GGA-PBE) data for MoSeBr2 after structural relaxation, as listed in Alexandria via LeMat-Bulk.

a = 11.126 Å, b = 11.126 Å, c = 11.126 Å
α = 16.62°, β = 16.62°, γ = 16.62°
Fractional coordinates of all 4 atoms:
Mo: 0.500 0.500 0.500
Se: 0.000 0.000 0.000
Br: 0.889 0.889 0.889
Br: 0.111 0.111 0.111

- formation energy (no corrections) (eV per atom) = 0.1868
- distance to the lowest polymorph of the same formula (eV/atom) = 0.5178
- DFT total energy (eV per atom) = -4.2286
- total magnetic moment (μB/f.u.) = 0.00

***

First-principles (GGA-PBE) data for NpCo2Ge2 after structural relaxation, as listed in Alexandria via LeMat-Bulk.

a = 3.950 Å, b = 3.950 Å, c = 5.812 Å
α = 109.87°, β = 109.87°, γ = 90.00°
Site moments in Bohr magnetons follow the coordinates.
Fractional coordinates of all 5 atoms:
Np: 0.000 0.000 0.000  3.70
Co: 0.250 0.750 0.500  0.13
Co: 0.750 0.250 0.500  0.13
Ge: 0.628 0.628 0.255  -0.02
Ge: 0.372 0.372 0.745  -0.02

- formation enthalpy at 0 K (eV/atom) = -0.285
- DFT total energy (eV per atom) = -7.5622
- total magnetic moment (μB/f.u.) = 4.19

***

First-principles (GGA-PBE) data for NaTc2PtO8 after structural relaxation, as listed in Alexandria via LeMat-Bulk.

a = 5.420 Å, b = 5.420 Å, c = 7.346 Å
α = 90.00°, β = 90.00°, γ = 120.00°
Fractional coordinates of all 12 atoms:
Na: 0.000 0.000 0.000
Tc: 0.667 0.333 0.244
Tc: 0.333 0.667 0.756
Pt: 0.000 0.000 0.500
O: 0.333 0.667 0.992
O: 0.332 0.284 0.325
O: 0.716 0.048 0.325
O: 0.667 0.333 0.008
O: 0.284 0.952 0.675
O: 0.668 0.716 0.675
O: 0.048 0.332 0.675
O: 0.952 0.668 0.325

- formation energy (no corrections) (eV per atom) = -1.1398
- DFT total energy (eV per atom) = -6.7863
- total magnetic moment (μB/f.u.) = 0.00

***

First-principles (GGA-PBE) data for Li3CdPt after structural relaxation, as listed in Alexandria via LeMat-Bulk.

a = 5.121 Å, b = 5.121 Å, c = 4.779 Å
α = 105.80°, β = 105.80°, γ = 119.43°
Fractional coordinates of all 5 atoms:
Li: 0.696 0.196 0.391
Li: 0.196 0.696 0.391
Li: 0.024 0.024 0.049
Cd: 0.372 0.372 0.745
Pt: 0.709 0.709 0.418

- distance to the lowest polymorph of the same formula (eV/atom) = 0.0946
- formation enthalpy at 0 K (eV/atom) = -0.302
- DFT total energy (eV per atom) = -2.8415
- total magnetic moment (μB/f.u.) = 0.00

***

First-principles (GGA-PBE) data for TcSe after structural relaxation, as listed in Alexandria via LeMat-Bulk.

a = 8.648 Å, b = 11.524 Å, c = 7.655 Å
α = 90.00°, β = 90.00°, γ = 90.00°
Fractional coordinates of all 32 atoms:
Tc: 0.000 0.622 0.000
Tc: 0.000 0.378 0.000
Tc: 0.250 0.128 0.250
Tc: 0.250 0.372 0.250
Tc: 0.000 0.122 0.500
Tc: 0.000 0.878 0.500
Tc: 0.250 0.628 0.750
Tc: 0.250 0.872 0.750
Tc: 0.500 0.622 0.500
Tc: 0.500 0.378 0.500
Tc: 0.750 0.128 0.750
Tc: 0.750 0.372 0.750
Tc: 0.500 0.122 0.000
Tc: 0.500 0.878 0.000
Tc: 0.750 0.628 0.250
Tc: 0.750 0.872 0.250
Se: 0.730 0.000 0.000
Se: 0.270 0.000 0.000
Se: 0.520 0.750 0.250
Se: 0.980 0.750 0.250
Se: 0.730 0.500 0.500
Se: 0.270 0.500 0.500
Se: 0.520 0.250 0.750
Se: 0.980 0.250 0.750
Se: 0.230 0.000 0.500
Se: 0.770 0.000 0.500
Se: 0.020 0.750 0.750
Se: 0.480 0.750 0.750
Se: 0.230 0.500 0.000
Se: 0.770 0.500 0.000
Se: 0.020 0.250 0.250
Se: 0.480 0.250 0.250

- formation energy (no corrections) (eV per atom) = 0.0712
- distance to the lowest polymorph of the same formula (eV/atom) = 0.2773
- DFT total energy (eV per atom) = -6.8541
- total magnetic moment (μB/f.u.) = 0.00

***

First-principles (GGA-PBE) data for Ba2TaPb after structural relaxation, as listed in Alexandria via LeMat-Bulk.

a = 5.824 Å, b = 5.824 Å, c = 7.462 Å
α = 85.24°, β = 85.24°, γ = 33.88°
Site moments in Bohr magnetons follow the coordinates.
Fractional coordinates of all 4 atoms:
Pb: 0.750 0.750 0.750  -0.03
Ba: 0.005 0.005 0.006  0.05
Ba: 0.495 0.495 0.494  0.05
Ta: 0.250 0.250 0.250  1.25

- formation enthalpy at 0 K (eV/atom) = 0.804
- DFT total energy (eV per atom) = -4.0474
- total magnetic moment (μB/f.u.) = 2.12

***

First-principles (GGA-PBE) data for SrTbCuAg after structural relaxation, as listed in Alexandria via LeMat-Bulk.

a = 5.229 Å, b = 5.229 Å, c = 5.229 Å
α = 60.00°, β = 60.00°, γ = 60.00°
Fractional coordinates of all 4 atoms:
Sr: 0.500 0.500 0.500
Tb: 0.000 0.000 0.000
Cu: 0.750 0.750 0.750
Ag: 0.250 0.250 0.250

- formation enthalpy at 0 K (eV/atom) = -0.103
- DFT total energy (eV per atom) = -3.4176
- total magnetic moment (μB/f.u.) = 0.00

***

First-principles (GGA-PBE) data for MnZn2P after structural relaxation, as listed in Alexandria via LeMat-Bulk.

a = 4.901 Å, b = 2.670 Å, c = 4.346 Å
α = 85.65°, β = 90.00°, γ = 90.00°
Site moments in Bohr magnetons follow the coordinates.
Fractional coordinates of all 4 atoms:
Mn: 0.500 0.000 0.000  2.96
Zn: 0.000 0.278 0.756  -0.01
Zn: 0.000 0.722 0.244  -0.01
P: 0.500 0.500 0.500  -0.01

- formation enthalpy at 0 K (eV/atom) = 0.103
- DFT total energy (eV per atom) = -4.1786
- total magnetic moment (μB/f.u.) = 3.02

***

First-principles (GGA-PBE) data for HoLuIn2 after structural relaxation, as listed in Alexandria via LeMat-Bulk.

a = 3.694 Å, b = 5.285 Å, c = 5.285 Å
α = 90.00°, β = 90.00°, γ = 90.00°
Fractional coordinates of all 4 atoms:
Lu: 0.500 0.000 0.000
Ho: 0.500 0.500 0.500
In: 0.000 0.000 0.500
In: 0.000 0.500 0.000

- formation enthalpy at 0 K (eV/atom) = -0.422
- DFT total energy (eV per atom) = -4.0654
- total magnetic moment (μB/f.u.) = 0.00

***

First-principles (GGA-PBE) data for Sc3TiAg after structural relaxation, as listed in Alexandria via LeMat-Bulk.

a = 4.965 Å, b = 4.965 Å, c = 4.965 Å
α = 90.00°, β = 90.00°, γ = 90.00°
Fractional coordinates of all 5 atoms:
Sc: 0.000 0.500 0.000
Sc: 0.000 0.000 0.500
Sc: 0.500 0.000 0.000
Ag: 0.500 0.500 0.500
Ti: 0.000 0.000 0.000

- distance to the lowest polymorph of the same formula (eV/atom) = 0.0000
- formation enthalpy at 0 K (eV/atom) = 0.600
- DFT total energy (eV per atom) = -5.3484
- total magnetic moment (μB/f.u.) = 0.00

***

First-principles (GGA-PBE) data for NdMg2Pb2 after structural relaxation, as listed in Alexandria via LeMat-Bulk.

a = 4.606 Å, b = 4.640 Å, c = 12.855 Å
α = 90.00°, β = 100.32°, γ = 90.00°
Fractional coordinates of all 10 atoms:
Nd: 0.353 0.250 0.705
Nd: 0.647 0.750 0.295
Mg: 0.043 0.750 0.086
Mg: 0.459 0.750 0.917
Mg: 0.957 0.250 0.914
Mg: 0.541 0.250 0.083
Pb: 0.749 0.250 0.498
Pb: 0.251 0.750 0.502
Pb: 0.876 0.750 0.752
Pb: 0.124 0.250 0.248

- distance to the lowest polymorph of the same formula (eV/atom) = 0.0000
- formation enthalpy at 0 K (eV/atom) = -0.305
- DFT total energy (eV per atom) = -3.3797
- total magnetic moment (μB/f.u.) = 0.00

***

First-principles (GGA-PBE) data for Li5In4 after structural relaxation, as listed in Alexandria via LeMat-Bulk.

a = 4.503 Å, b = 5.127 Å, c = 9.052 Å
α = 105.30°, β = 90.00°, γ = 116.05°
Fractional coordinates of all 9 atoms:
Li: 0.997 0.994 0.167
Li: 0.325 0.650 0.277
Li: 0.000 0.000 0.500
Li: 0.675 0.350 0.723
Li: 0.003 0.006 0.833
In: 0.656 0.313 0.394
In: 0.344 0.687 0.606
In: 0.329 0.658 0.936
In: 0.671 0.342 0.064

- distance to the lowest polymorph of the same formula (eV/atom) = 0.0276
- formation enthalpy at 0 K (eV/atom) = -0.257
- DFT total energy (eV per atom) = -2.5369
- total magnetic moment (μB/f.u.) = 0.00

***

First-principles (GGA-PBE) data for TaAl2Tc after structural relaxation, as listed in Alexandria via LeMat-Bulk.

a = 5.107 Å, b = 5.107 Å, c = 4.359 Å
α = 64.78°, β = 64.78°, γ = 38.24°
Fractional coordinates of all 4 atoms:
Ta: 0.513 0.513 0.487
Al: 0.990 0.990 0.010
Al: 0.751 0.751 0.749
Tc: 0.246 0.246 0.254

- distance to the lowest polymorph of the same formula (eV/atom) = 0.1129
- formation enthalpy at 0 K (eV/atom) = -0.268
- DFT total energy (eV per atom) = -7.6941
- total magnetic moment (μB/f.u.) = 0.00

***

First-principles (GGA-PBE) data for Ho12Co6Cu after structural relaxation, as listed in Alexandria via LeMat-Bulk.

a = 8.261 Å, b = 8.261 Å, c = 8.261 Å
α = 109.47°, β = 109.47°, γ = 109.47°
Fractional coordinates of all 19 atoms:
Ho: 0.301 0.107 0.806
Ho: 0.301 0.495 0.194
Ho: 0.699 0.505 0.806
Ho: 0.699 0.893 0.194
Ho: 0.107 0.806 0.301
Ho: 0.495 0.194 0.301
Ho: 0.505 0.806 0.699
Ho: 0.893 0.194 0.699
Ho: 0.806 0.301 0.107
Ho: 0.194 0.301 0.495
Ho: 0.806 0.699 0.505
Ho: 0.194 0.699 0.893
Co: 0.386 0.500 0.886
Co: 0.614 0.500 0.114
Co: 0.500 0.886 0.386
Co: 0.500 0.114 0.614
Co: 0.886 0.386 0.500
Co: 0.114 0.614 0.500
Cu: 0.000 0.000 0.000

- formation enthalpy at 0 K (eV/atom) = -0.188
- DFT total energy (eV per atom) = -5.5389
- total magnetic moment (μB/f.u.) = 0.00

***

First-principles (GGA-PBE) data for MgZr3Br after structural relaxation, as listed in Alexandria via LeMat-Bulk.

a = 5.015 Å, b = 5.015 Å, c = 5.015 Å
α = 90.00°, β = 90.00°, γ = 90.00°
Fractional coordinates of all 5 atoms:
Mg: 0.500 0.500 0.500
Br: 0.000 0.000 0.000
Zr: 0.000 0.500 0.000
Zr: 0.000 0.000 0.500
Zr: 0.500 0.000 0.000

- formation energy (no corrections) (eV per atom) = 0.3338
- distance to the lowest polymorph of the same formula (eV/atom) = 0.0000
- DFT total energy (eV per atom) = -5.4485
- total magnetic moment (μB/f.u.) = 0.00

***

First-principles (GGA-PBE) data for LiEuZnAg after structural relaxation, as listed in Alexandria via LeMat-Bulk.

a = 5.061 Å, b = 5.061 Å, c = 5.061 Å
α = 60.00°, β = 60.00°, γ = 60.00°
Site moments in Bohr magnetons follow the coordinates.
Fractional coordinates of all 4 atoms:
Eu: 0.500 0.500 0.500  6.84
Zn: 0.750 0.750 0.750  0.03
Ag: 0.250 0.250 0.250  0.01
Li: 0.000 0.000 0.000  0.01

- formation enthalpy at 0 K (eV/atom) = -0.147
- DFT total energy (eV per atom) = -4.2255
- total magnetic moment (μB/f.u.) = 7.26

***

First-principles (GGA-PBE) data for Pm5CSe4 after structural relaxation, as listed in Alexandria via LeMat-Bulk.

a = 5.831 Å, b = 7.152 Å, c = 7.152 Å
α = 80.43°, β = 65.94°, γ = 65.94°
Fractional coordinates of all 10 atoms:
Pm: 0.910 0.354 0.827
Pm: 0.264 0.827 0.646
Pm: 0.738 0.173 0.354
Pm: 0.092 0.646 0.173
Pm: 0.500 0.000 0.000
C: 0.002 0.000 0.000
Se: 0.408 0.398 0.788
Se: 0.806 0.788 0.602
Se: 0.196 0.212 0.398
Se: 0.594 0.602 0.212

- formation energy (no corrections) (eV per atom) = -1.5321
- distance to the lowest polymorph of the same formula (eV/atom) = 0.0000
- DFT total energy (eV per atom) = -6.2236
- total magnetic moment (μB/f.u.) = 0.00

***

First-principles (GGA-PBE) data for BePbC3 after structural relaxation, as listed in Alexandria via LeMat-Bulk.

a = 4.440 Å, b = 4.440 Å, c = 4.440 Å
α = 90.00°, β = 90.00°, γ = 90.00°
Site moments in Bohr magnetons follow the coordinates.
Fractional coordinates of all 5 atoms:
Pb: 0.000 0.000 0.000  0.03
Be: 0.500 0.500 0.500  -0.05
C: 0.000 0.500 0.000  0.38
C: 0.000 0.000 0.500  0.33
C: 0.500 0.000 0.000  0.38

- distance to the lowest polymorph of the same formula (eV/atom) = 1.4182
- formation enthalpy at 0 K (eV/atom) = 3.797
- DFT total energy (eV per atom) = -3.2238
- total magnetic moment (μB/f.u.) = 1.99

***

no.,volume (Å³/atom),DOS at the Fermi energy (states/eV/cell)
1,26.3,2.8
2,17.5,0.0
3,24.6,2.5
4,15.9,11.0
5,15.6,5.8
6,18.4,1.4
7,23.8,31.7
8,35.1,4.3
9,25.3,3.4
10,14.2,2.1
11,25.8,2.1
12,24.5,4.9
13,27.0,4.7
14,19.9,2.9
15,15.7,2.1
16,22.8,13.8
17,25.2,4.5
18,22.9,6.9
19,24.9,5.2
20,17.5,4.8